DFT (PBE) results for a geometry-optimized Hg12GeF7 structure.

Geometry as extended XYZ:
```
20
Lattice="9.5880 5.5356 1.3361 -9.5880 5.5356 1.3361 0.0000 -11.0713 1.3361" Properties=species:S:1:pos:R:3 pbc="T T T"
Hg -3.9828 -4.1729 1.3361
Hg -5.6052 -1.3628 1.3361
Hg 0.0000 -3.6885 0.6185
Hg -3.1943 1.8442 0.6185
Hg 3.1943 1.8442 0.6185
Hg 3.9828 -4.1729 1.3361
Hg -1.6224 5.5356 1.3361
Hg 5.6052 -1.3628 1.3361
Hg 1.6224 5.5356 1.3361
Hg -3.1943 -1.8442 3.3898
Hg 3.1943 -1.8442 3.3898
Hg 0.0000 3.6885 3.3898
Ge 0.0000 0.0000 2.0042
F 0.0000 0.0000 0.0000
F -2.0212 -1.1670 1.4041
F 2.0212 -1.1670 1.4041
F 0.0000 2.3339 1.4041
F 0.0000 -2.3339 2.6043
F -2.0212 1.1670 2.6043
F 2.0212 1.1670 2.6043
```

**Total DFT energy (no corrections)**: -35.75 eV/cell
**Symmetry**: R-3m, No. 166
**E_form (uncorrected)**: -721 meV/atom
**Spin magnetization**: 0.00 Bohr magnetons per cell

DFT (PBE) results for a geometry-optimized HgGeF4 structure.

Geometry as extended XYZ:
```
12
Lattice="7.0745 0.0000 0.0000 0.0000 5.7501 0.0000 -1.7951 0.0000 7.5366" Properties=species:S:1:pos:R:3 pbc="T T T"
Hg 1.3290 1.4375 0.1554
Hg 3.9503 4.3126 7.3812
Ge 0.7927 4.3126 4.1081
Ge 4.4866 1.4375 3.4285
F -0.8956 4.3126 4.4578
F 0.9950 4.3126 2.4095
F 1.5006 2.9165 4.8031
F 1.5006 5.7087 4.8031
F 3.7787 0.0414 2.7335
F 3.7787 2.8336 2.7335
F 4.2843 1.4375 5.1271
F 6.1749 1.4375 3.0788
```

**Total DFT energy (no corrections)**: -47.91 eV/cell
**Symmetry**: P2_1/m, No. 11
**E_form (uncorrected)**: -1925 meV/atom
**Spin magnetization**: 0.00 Bohr magnetons per cell

DFT (PBE) results for a geometry-optimized Hg2GeF4 structure.

Geometry as extended XYZ:
```
7
Lattice="3.2209 -3.1326 0.0000 3.2209 3.1326 0.0000 -2.1348 0.0000 8.1569" Properties=species:S:1:pos:R:3 pbc="T T T"
Hg 3.2209 1.5704 0.0000
Hg 3.2209 -1.5704 0.0000
Ge 1.4802 0.0000 4.1301
F 1.4999 1.4032 3.1248
F 0.0528 0.0000 5.1007
F 1.4999 -1.4032 3.1248
F 2.8710 0.0000 5.1527
```

**Total DFT energy (no corrections)**: -24.17 eV/cell
**Symmetry**: Cm, No. 8
**E_form (uncorrected)**: -1638 meV/atom
**Spin magnetization**: 0.00 Bohr magnetons per cell

DFT (PBE) results for a geometry-optimized HgGe2F structure.

Geometry as extended XYZ:
```
8
Lattice="-2.3270 2.3270 7.9548 2.3270 -2.3270 7.9548 2.3270 2.3270 -7.9548" Properties=species:S:1:pos:R:3 pbc="T T T"
Hg 0.0000 0.0000 0.0000
Hg 0.0000 2.3270 3.9774
Ge 1.1635 -0.6485 5.9661
Ge 1.6785 1.1635 1.9887
Ge 1.1635 2.9755 -1.9887
Ge 0.6485 1.1635 9.9435
F 2.3270 0.0000 3.9774
F 0.0000 0.0000 7.9548
```

**Total DFT energy (no corrections)**: -25.63 eV/cell
**Symmetry**: I-42d, No. 122
**E_form (uncorrected)**: -352 meV/atom
**Spin magnetization**: 0.00 Bohr magnetons per cell

DFT (PBE) results for a geometry-optimized HgGe2F8 structure.

Geometry as extended XYZ:
```
11
Lattice="5.4647 -3.9435 0.0000 5.4647 3.9435 0.0000 -0.9091 0.0000 5.3388" Properties=species:S:1:pos:R:3 pbc="T T T"
Hg 0.0000 0.0000 0.0000
Ge 2.2029 0.0000 2.7896
Ge 7.8174 0.0000 2.5492
F 3.4115 2.5918 2.3438
F 2.9247 0.0000 1.2370
F 6.6088 2.5918 2.9950
F 3.4002 0.0000 4.0069
F 6.6200 0.0000 1.3319
F 3.4115 -2.5918 2.3438
F 7.0955 0.0000 4.1018
F 6.6088 -2.5918 2.9950
```

**Total DFT energy (no corrections)**: -47.51 eV/cell
**Symmetry**: C2/m, No. 12
**E_form (uncorrected)**: -2092 meV/atom
**Spin magnetization**: 0.00 Bohr magnetons per cell

DFT (PBE) results for a geometry-optimized Hg2GeF6 structure.

Geometry as extended XYZ:
```
18
Lattice="5.6783 0.0000 0.0000 0.0000 4.8093 0.0000 -0.6318 0.0000 10.4228" Properties=species:S:1:pos:R:3 pbc="T T T"
Hg 0.5424 0.4252 2.9347
Hg 0.2265 1.9794 8.1461
Hg 4.8200 2.8299 2.2767
Hg 4.5040 4.3841 7.4881
Ge 2.8391 0.0000 0.0000
Ge 2.5232 2.4046 5.2114
F 1.2821 0.8778 0.3377
F 0.9662 1.5269 5.5491
F 1.2255 3.4164 9.7792
F 1.5414 3.7975 4.5678
F 2.2620 0.7289 8.7126
F 2.5779 1.6757 3.5012
F 2.4685 3.1336 6.9216
F 2.7844 4.0803 1.7102
F 3.5051 1.0118 5.8550
F 3.8210 1.3929 0.6436
F 4.0803 3.2824 4.8737
F 3.7644 3.9315 10.0852
```

**Total DFT energy (no corrections)**: -66.14 eV/cell
**Symmetry**: P2_1/c, No. 14
**E_form (uncorrected)**: -1847 meV/atom
**Spin magnetization**: 0.00 Bohr magnetons per cell